A relaxed NaHfMnO4 crystal. Source: the Alexandria database, functional PBE with a Hubbard U.

a = 6.262 Å, b = 6.262 Å, c = 6.262 Å
α = 120.44°, β = 117.82°, γ = 91.53°
Sites, in units of the cell vectors:
Na  0.379  0.129  0.250
Na  0.621  0.871  0.750
Hf  0.000  0.500  0.500
Hf  0.500  0.500  0.000
Mn  0.000  0.000  0.500
Mn  0.000  0.500  0.000
O  0.192  0.737  0.454
O  0.217  0.263  0.954
O  0.235  0.269  0.535
O  0.235  0.700  0.965
O  0.765  0.300  0.035
O  0.765  0.731  0.465
O  0.783  0.737  0.046
O  0.808  0.263  0.546

Summary:
Raw total energy (eV/cell): -108.45
Total moment (μB per formula unit): 2.00